(1)
The following is a meta-GGA SCAN calculation of a PBEsol-optimized structure of LaCd2Pd, from Alexandria.

ΔH_f (0 K): -671 meV/atom

Unit cell a=4.297 b=10.012 c=8.300 alpha=90.00 beta=90.00 gamma=90.00
Space group Cmcm (No. 63)
Asymmetric unit:
1 La 0.000 0.065 0.250
2 Cd 0.000 0.355 0.049
3 Pd 0.000 0.219 0.750

***

(2)
The following is a meta-GGA SCAN calculation of a PBEsol-optimized structure of Hf2TaPdRu, from Alexandria.

ΔH_f (0 K): 872 meV/atom

Unit cell a=4.708 b=4.708 c=4.802 alpha=90.00 beta=90.00 gamma=90.00
Space group P4/mmm (No. 123)
Asymmetric unit:
1 Hf 0.000 0.500 0.000
2 Ta 0.000 0.000 0.500
3 Pd 0.500 0.500 0.500
4 Ru 0.500 0.500 0.000

***

(3)
The following is a meta-GGA SCAN calculation of a PBEsol-optimized structure of Sr2CuO3, from Alexandria.

Formation energy (no corrections): -2331 meV/atom

Unit cell a=3.491 b=3.909 c=12.513 alpha=90.00 beta=90.00 gamma=90.00
Space group Immm (No. 71)
Asymmetric unit:
1 Sr 0.000 0.000 0.147
2 Cu 0.000 0.000 0.500
3 O 0.000 0.000 0.345
4 O 0.000 0.500 0.500

***

(4)
The following is a meta-GGA SCAN calculation of a PBEsol-optimized structure of TaTlMo2, from Alexandria.

ΔH_f (0 K): 469 meV/atom
Energy relative to the lowest polymorph listed for this composition: 58 kJ/mol of formula units

Unit cell a=3.0766 b=3.0766 c=26.4287 alpha=90.00 beta=90.00 gamma=120.00
Space group R3m (No. 160, hexagonal axes)
Asymmetric unit:
1 Ta 0.0000 0.0000 0.0000
2 Tl 0.0000 0.0000 0.7613
3 Mo 0.0000 0.0000 0.2562
4 Mo 0.0000 0.0000 0.5189

***

(5)
The following is a meta-GGA SCAN calculation of a PBEsol-optimized structure of LaZr2Ni, from Alexandria.

ΔH_f (0 K): -13 meV/atom

Unit cell a=11.013 b=3.310 c=5.371 alpha=90.00 beta=117.44 gamma=90.00
Space group Cm (No. 8)
Asymmetric unit:
1 La 0.000 0.000 0.000
2 Zr 0.099 0.500 0.598
3 Zr 0.306 0.500 0.260
4 Ni 0.287 0.000 0.609

***

(6)
The following is a meta-GGA SCAN calculation of a PBEsol-optimized structure of MgCd4, from Alexandria.

ΔH_f (0 K): -57 meV/atom

Unit cell a=6.912 b=6.912 c=4.367 alpha=90.00 beta=90.00 gamma=90.00
Space group I4/m (No. 87)
Asymmetric unit:
1 Mg 0.000 0.000 0.000
2 Cd 0.100 0.701 0.500

***

no.,Fermi-level density of states (states/eV/f.u.),raw total energy (eV/atom),calculated density (g/cm3)
1,1.59,-34.848,8.75
2,5.40,-51.034,11.63
3,1.09,-15.404,5.58
4,3.05,-51.709,13.27
5,3.38,-30.182,7.26
6,1.73,-25.383,7.54